{"formula": "PaAlFeCu", "functional": "PBE", "state": "relaxed", "cell": [[0.0000, 3.1990, 3.1990], [3.1990, 0.0000, 3.1990], [3.1990, 3.1990, 0.0000]], "species": ["Pa", "Al", "Fe", "Cu"], "frac_coords": [[0.0000, 0.0000, 0.0000], [0.5000, 0.5000, 0.5000], [0.2500, 0.2500, 0.2500], [0.7500, 0.7500, 0.7500]], "final_energy_ev_per_atom": -6.5368, "vol_a3_per_cell": 65.5, "formation_enthalpy_0k_mev_per_atom": -87, "space_group": "No. 216"}